Entry from Alexandria: a relaxed structure of LiSm2Fe (PBE).

abc: 7.032 7.032 7.032
angles: 90.00 90.00 90.00
Positions (direct):
Li 0.000 0.000 0.000
Li 0.000 0.500 0.500
Li 0.500 0.000 0.500
Li 0.500 0.500 0.000
Sm 0.250 0.250 0.250
Sm 0.250 0.250 0.750
Sm 0.250 0.750 0.250
Sm 0.250 0.750 0.750
Sm 0.750 0.250 0.250
Sm 0.750 0.250 0.750
Sm 0.750 0.750 0.250
Sm 0.750 0.750 0.750
Fe 0.000 0.000 0.500
Fe 0.000 0.500 0.000
Fe 0.500 0.000 0.000
Fe 0.500 0.500 0.500

* relative energy among the computed polymorphs: 14.1 kJ/mol of formula units
* energy of formation from the pure elements: 0.149 eV per atom
* DOS at the Fermi energy: 1.169 states/eV/atom

Entry from Alexandria: a relaxed structure of Rb2HgHF6 (PBE).

abc: 6.167 6.167 5.639
angles: 108.10 108.10 106.22
Positions (direct):
Rb 0.209 0.791 0.000
Rb 0.791 0.209 0.000
Hg 0.500 0.500 0.500
H 0.000 0.000 0.500
F 0.116 0.116 0.420
F 0.288 0.712 0.500
F 0.319 0.319 0.067
F 0.681 0.681 0.933
F 0.712 0.288 0.500
F 0.884 0.884 0.580

* relative energy among the computed polymorphs: 0.0 kJ/mol of formula units

Entry from Alexandria: a relaxed structure of Sc6Bi5Te (PBE).

abc: 7.356 7.356 7.359
angles: 99.60 99.60 119.96
Positions (direct):
Sc 0.083 0.417 0.750
Sc 0.250 0.250 0.248
Sc 0.417 0.083 0.750
Sc 0.583 0.917 0.250
Sc 0.750 0.750 0.752
Sc 0.917 0.583 0.250
Bi 0.167 0.833 0.000
Bi 0.334 0.666 0.500
Bi 0.500 0.500 0.000
Bi 0.666 0.334 0.500
Bi 0.833 0.167 0.000
Te 0.000 0.000 0.500

* E_form (uncorrected): -9.03 eV per formula unit
* DOS at the Fermi energy: 0.256 states/eV/atom

Entry from Alexandria: a relaxed structure of NaAg2Ir (PBE).

abc: 4.035 4.035 19.151
angles: 90.00 90.00 90.00
Positions (direct):
Na 0.000 0.000 0.000
Na 0.000 0.500 0.250
Na 0.500 0.000 0.750
Na 0.500 0.500 0.500
Ag 0.238 0.250 0.625
Ag 0.250 0.738 0.875
Ag 0.250 0.762 0.375
Ag 0.262 0.250 0.125
Ag 0.738 0.750 0.125
Ag 0.750 0.238 0.375
Ag 0.750 0.262 0.875
Ag 0.762 0.750 0.625
Ir 0.000 0.000 0.500
Ir 0.000 0.500 0.750
Ir 0.500 0.000 0.250
Ir 0.500 0.500 0.000

* relative energy among the computed polymorphs: 120.2 kJ/mol of formula units
* energy of formation from the pure elements: 0.751 eV per atom
* DOS at the Fermi energy: 0.711 states/eV/atom

Entry from Alexandria: a relaxed structure of PaMn2Al10 (PBE).

abc: 6.780 6.780 8.988
angles: 90.00 90.00 97.78
Positions (direct):
Pa 0.129 0.871 0.750
Pa 0.871 0.129 0.250
Mn 0.000 0.500 0.000
Mn 0.000 0.500 0.500
Mn 0.500 0.000 0.000
Mn 0.500 0.000 0.500
Al 0.134 0.410 0.750
Al 0.158 0.842 0.098
Al 0.158 0.842 0.402
Al 0.218 0.478 0.250
Al 0.227 0.227 0.000
Al 0.227 0.227 0.500
Al 0.375 0.625 0.548
Al 0.375 0.625 0.952
Al 0.410 0.134 0.250
Al 0.478 0.218 0.750
Al 0.522 0.782 0.250
Al 0.590 0.866 0.750
Al 0.625 0.375 0.048
Al 0.625 0.375 0.452
Al 0.773 0.773 0.000
Al 0.773 0.773 0.500
Al 0.782 0.522 0.750
Al 0.842 0.158 0.598
Al 0.842 0.158 0.902
Al 0.866 0.590 0.250

* energy of formation from the pure elements: -0.277 eV per atom
* DOS at the Fermi energy: 0.602 states/eV/atom

Entry from Alexandria: a relaxed structure of SbBrN2F (PBE).

abc: 4.192 4.192 4.191
angles: 90.00 90.00 90.00
Positions (direct):
Sb 0.000 0.000 0.000
Br 0.500 0.500 0.500
N 0.000 0.500 0.000
N 0.500 0.000 0.000
F 0.000 0.000 0.500

* relative energy among the computed polymorphs: 0.0 kJ/mol of formula units
* E_form (uncorrected): 3.98 eV per formula unit
* DOS at the Fermi energy: 0.718 states/eV/atom

Entry from Alexandria: a relaxed structure of Hg3PRu (PBE).

abc: 5.023 5.023 5.023
angles: 90.00 90.00 90.00
Positions (direct):
Hg 0.000 0.000 0.500
Hg 0.000 0.500 0.000
Hg 0.500 0.000 0.000
P 0.000 0.000 0.000
Ru 0.500 0.500 0.500

* relative energy among the computed polymorphs: 40.5 kJ/mol of formula units
* energy of formation from the pure elements: 1.154 eV per atom
* DOS at the Fermi energy: 0.985 states/eV/atom

Entry from Alexandria: a relaxed structure of ZrAlAs2 (PBE).

abc: 7.078 8.394 5.405
angles: 90.00 104.89 90.00
Positions (direct):
Zr 0.163 0.000 0.339
Zr 0.337 0.500 0.661
Zr 0.663 0.500 0.339
Zr 0.837 0.000 0.661
Al 0.000 0.280 0.000
Al 0.000 0.720 0.000
Al 0.500 0.220 0.000
Al 0.500 0.780 0.000
As 0.000 0.284 0.500
As 0.000 0.716 0.500
As 0.245 0.000 0.878
As 0.255 0.500 0.122
As 0.500 0.216 0.500
As 0.500 0.784 0.500
As 0.745 0.500 0.878
As 0.755 0.000 0.122

* energy of formation from the pure elements: -0.567 eV per atom
* DOS at the Fermi energy: 0.387 states/eV/atom

Entry from Alexandria: a relaxed structure of La6Nd12Tl (PBE).

abc: 8.757 8.757 8.757
angles: 89.20 89.20 89.20
Positions (direct):
La 0.205 0.764 0.593
La 0.236 0.407 0.795
La 0.407 0.795 0.236
La 0.593 0.205 0.764
La 0.764 0.593 0.205
La 0.795 0.236 0.407
Nd 0.032 0.934 0.283
Nd 0.066 0.717 0.968
Nd 0.137 0.478 0.328
Nd 0.283 0.032 0.934
Nd 0.328 0.137 0.478
Nd 0.478 0.328 0.137
Nd 0.522 0.672 0.863
Nd 0.672 0.863 0.522
Nd 0.717 0.968 0.066
Nd 0.863 0.522 0.672
Nd 0.934 0.283 0.032
Nd 0.968 0.066 0.717
Tl 0.500 0.500 0.500

* energy of formation from the pure elements: 0.053 eV per atom
* DOS at the Fermi energy: 1.518 states/eV/atom

Entry from Alexandria: a relaxed structure of RbAlN2O (PBE).

abc: 5.343 5.343 4.941
angles: 90.00 90.00 90.00
Positions (direct):
Rb 0.000 0.000 0.000
Al 0.500 0.500 0.500
N 0.000 0.500 0.000
N 0.500 0.000 0.000
O 0.000 0.000 0.500

* E_form (uncorrected): 11.04 eV per formula unit
* DOS at the Fermi energy: 0.737 states/eV/atom

Entry from Alexandria: a relaxed structure of Sr2La2Br (PBE).

abc: 8.017 8.017 6.848
angles: 90.00 90.00 90.00
Positions (direct):
Sr 0.165 0.335 0.000
Sr 0.335 0.835 0.000
Sr 0.665 0.165 0.000
Sr 0.835 0.665 0.000
La 0.148 0.648 0.500
La 0.352 0.148 0.500
La 0.648 0.852 0.500
La 0.852 0.352 0.500
Br 0.000 0.000 0.500
Br 0.500 0.500 0.500

* E_form (uncorrected): -1.48 eV per formula unit
* DOS at the Fermi energy: 1.963 states/eV/atom

Entry from Alexandria: a relaxed structure of GaPb3F (PBE).

abc: 5.534 5.534 5.534
angles: 90.00 90.00 90.00
Positions (direct):
Ga 0.000 0.000 0.000
Pb 0.000 0.000 0.500
Pb 0.000 0.500 0.000
Pb 0.500 0.000 0.000
F 0.500 0.500 0.500

* relative energy among the computed polymorphs: 194.1 kJ/mol of formula units
* E_form (uncorrected): 0.12 eV per formula unit
* DOS at the Fermi energy: 0.493 states/eV/atom

Entry from Alexandria: a relaxed structure of Mg2CuPd2 (PBE).

abc: 6.595 6.595 3.892
angles: 90.00 90.00 90.00
Positions (direct):
Mg 0.164 0.336 0.000
Mg 0.336 0.836 0.000
Mg 0.664 0.164 0.000
Mg 0.836 0.664 0.000
Cu 0.000 0.000 0.500
Cu 0.500 0.500 0.500
Pd 0.143 0.643 0.500
Pd 0.357 0.143 0.500
Pd 0.643 0.857 0.500
Pd 0.857 0.357 0.500

* relative energy among the computed polymorphs: 0.0 kJ/mol of formula units
* energy of formation from the pure elements: -0.436 eV per atom
* DOS at the Fermi energy: 0.352 states/eV/atom

Entry from Alexandria: a relaxed structure of Gd2MgS4 (PBE).

abc: 12.748 3.893 13.609
angles: 90.00 90.00 90.00
Positions (direct):
Gd 0.120 0.250 0.075
Gd 0.134 0.250 0.706
Gd 0.366 0.750 0.206
Gd 0.380 0.750 0.575
Gd 0.620 0.250 0.425
Gd 0.634 0.250 0.794
Gd 0.866 0.750 0.294
Gd 0.880 0.750 0.925
Mg 0.109 0.750 0.458
Mg 0.391 0.250 0.958
Mg 0.609 0.750 0.042
Mg 0.891 0.250 0.542
S 0.004 0.750 0.616
S 0.025 0.250 0.885
S 0.230 0.250 0.246
S 0.234 0.250 0.516
S 0.266 0.750 0.016
S 0.270 0.750 0.746
S 0.475 0.750 0.385
S 0.496 0.250 0.116
S 0.504 0.750 0.884
S 0.525 0.250 0.615
S 0.730 0.250 0.254
S 0.734 0.250 0.984
S 0.766 0.750 0.484
S 0.770 0.750 0.754
S 0.975 0.750 0.115
S 0.996 0.250 0.384

* relative energy among the computed polymorphs: 32.9 kJ/mol of formula units
* E_form (uncorrected): -12.75 eV per formula unit

Entry from Alexandria: a relaxed structure of Tl10Hg4Au (PBE).

abc: 8.900 8.900 8.900
angles: 99.77 99.77 131.34
Positions (direct):
Tl 0.047 0.339 0.903
Tl 0.144 0.047 0.709
Tl 0.250 0.750 0.500
Tl 0.339 0.436 0.291
Tl 0.436 0.144 0.097
Tl 0.564 0.856 0.903
Tl 0.661 0.564 0.709
Tl 0.750 0.250 0.500
Tl 0.856 0.953 0.291
Tl 0.953 0.661 0.097
Hg 0.202 0.400 0.603
Hg 0.400 0.798 0.198
Hg 0.600 0.202 0.802
Hg 0.798 0.600 0.397
Au 0.000 0.000 0.000

* energy of formation from the pure elements: 0.023 eV per atom
* DOS at the Fermi energy: 0.401 states/eV/atom

Entry from Alexandria: a relaxed structure of La3Mo (PBE).

abc: 5.594 5.594 5.594
angles: 90.00 90.00 90.00
Positions (direct):
La 0.000 0.000 0.500
La 0.000 0.500 0.000
La 0.500 0.000 0.000
Mo 0.000 0.000 0.000

* relative energy among the computed polymorphs: 138.7 kJ/mol of formula units
* energy of formation from the pure elements: 0.567 eV per atom
* DOS at the Fermi energy: 1.477 states/eV/atom

Entry from Alexandria: a relaxed structure of Ce3N2F2 (PBE).

abc: 11.851 3.820 6.446
angles: 90.00 113.95 90.00
Positions (direct):
Ce 0.000 0.000 0.000
Ce 0.197 0.000 0.673
Ce 0.303 0.500 0.327
Ce 0.500 0.500 0.000
Ce 0.697 0.500 0.673
Ce 0.803 0.000 0.327
N 0.189 0.000 0.317
N 0.311 0.500 0.683
N 0.689 0.500 0.317
N 0.811 0.000 0.683
F 0.118 0.500 0.923
F 0.382 0.000 0.077
F 0.618 0.000 0.923
F 0.882 0.500 0.077

* E_form (uncorrected): -15.04 eV per formula unit
* DOS at the Fermi energy: 2.026 states/eV/atom

Entry from Alexandria: a relaxed structure of CsTiZn2Mo (PBE).

abc: 5.383 5.383 4.591
angles: 90.00 90.00 90.00
Positions (direct):
Cs 0.000 0.000 0.000
Ti 0.500 0.500 0.000
Zn 0.000 0.500 0.500
Zn 0.500 0.000 0.500
Mo 0.500 0.500 0.500

* energy of formation from the pure elements: 0.680 eV per atom
* DOS at the Fermi energy: 0.952 states/eV/atom

Entry from Alexandria: a relaxed structure of ThPaCuTc (PBE).

abc: 7.003 7.003 7.003
angles: 90.00 90.00 90.00
Positions (direct):
Th 0.000 0.000 0.000
Th 0.000 0.500 0.500
Th 0.500 0.000 0.500
Th 0.500 0.500 0.000
Pa 0.000 0.000 0.500
Pa 0.000 0.500 0.000
Pa 0.500 0.000 0.000
Pa 0.500 0.500 0.500
Cu 0.250 0.250 0.250
Cu 0.250 0.750 0.750
Cu 0.750 0.250 0.750
Cu 0.750 0.750 0.250
Tc 0.250 0.250 0.750
Tc 0.250 0.750 0.250
Tc 0.750 0.250 0.250
Tc 0.750 0.750 0.750

* energy of formation from the pure elements: -0.014 eV per atom
* DOS at the Fermi energy: 1.257 states/eV/atom

Entry from Alexandria: a relaxed structure of GeSb3Pd (PBE).

abc: 5.262 5.262 5.262
angles: 90.00 90.00 90.00
Positions (direct):
Ge 0.000 0.000 0.000
Sb 0.000 0.000 0.500
Sb 0.000 0.500 0.000
Sb 0.500 0.000 0.000
Pd 0.500 0.500 0.500

* relative energy among the computed polymorphs: 178.0 kJ/mol of formula units
* E_form (uncorrected): 4.26 eV per formula unit
* DOS at the Fermi energy: 0.728 states/eV/atom

Entry from Alexandria: a relaxed structure of Zn2HPdRu (PBE).

abc: 4.192 4.192 3.418
angles: 90.00 90.00 90.00
Positions (direct):
Zn 0.000 0.500 0.000
Zn 0.500 0.000 0.000
H 0.000 0.000 0.000
Pd 0.500 0.500 0.500
Ru 0.000 0.000 0.500

* uncorrected energy: -0.30855 Ry per atom
* DOS at the Fermi energy: 0.524 states/eV/atom

Entry from Alexandria: a relaxed structure of Hf2TeSe3 (PBE).

abc: 7.634 7.634 6.956
angles: 90.00 90.00 120.00
Positions (direct):
Hf 0.000 0.000 0.000
Hf 0.000 0.500 0.000
Hf 0.500 0.000 0.000
Hf 0.500 0.500 0.000
Te 0.333 0.667 0.731
Te 0.667 0.333 0.269
Se 0.167 0.334 0.222
Se 0.167 0.833 0.222
Se 0.334 0.167 0.778
Se 0.666 0.833 0.222
Se 0.833 0.167 0.778
Se 0.833 0.666 0.778

* E_form (uncorrected): -7.28 eV per formula unit
* DOS at the Fermi energy: 0.096 states/eV/atom

Number 1: density 6.94 g cm⁻³, spin magnetization 0.68 μB/f.u.. Number 2: density 4.59 g cm⁻³, spin magnetization 1.00 μB/f.u.. Number 3: density 7.36 g cm⁻³, spin magnetization 0.00 μB/f.u.. Number 4: density 9.18 g cm⁻³, spin magnetization 0.48 μB/f.u.. Number 5: density 4.96 g cm⁻³, spin magnetization 0.00 μB/f.u.. Number 6: density 5.61 g cm⁻³, spin magnetization 1.50 μB/f.u.. Number 7: density 9.61 g cm⁻³, spin magnetization 2.63 μB/f.u.. Number 8: density 5.74 g cm⁻³, spin magnetization 0.00 μB/f.u.. Number 9: density 6.85 g cm⁻³, spin magnetization 0.00 μB/f.u.. Number 10: density 1.84 g cm⁻³, spin magnetization 6.00 μB/f.u.. Number 11: density 4.02 g cm⁻³, spin magnetization 0.00 μB/f.u.. Number 12: density 6.96 g cm⁻³, spin magnetization 0.00 μB/f.u.. Number 13: density 6.38 g cm⁻³, spin magnetization 0.00 μB/f.u.. Number 14: density 4.59 g cm⁻³, spin magnetization 14.00 μB/f.u.. Number 15: density 10.48 g cm⁻³, spin magnetization 0.00 μB/f.u.. Number 16: density 4.86 g cm⁻³, spin magnetization 0.00 μB/f.u.. Number 17: density 6.06 g cm⁻³, spin magnetization 3.85 μB/f.u.. Number 18: density 5.09 g cm⁻³, spin magnetization 0.00 μB/f.u.. Number 19: density 12.08 g cm⁻³, spin magnetization 0.00 μB/f.u.. Number 20: density 6.20 g cm⁻³, spin magnetization 0.00 μB/f.u.. Number 21: density 9.38 g cm⁻³, spin magnetization 0.00 μB/f.u.. Number 22: density 6.83 g cm⁻³, spin magnetization 0.00 μB/f.u..